Entry from Alexandria: a relaxed RbScTcN2 crystal (GGA-PBEsol).

CIF file:
```
data_RbScTcN2
_cell_length_a 4.369
_cell_length_b 4.369
_cell_length_c 4.851
_cell_angle_alpha 90.00
_cell_angle_beta 90.00
_cell_angle_gamma 90.00
_symmetry_space_group_name_H-M 'P 4/m m m'
_symmetry_Int_Tables_number 123
_symmetry_space_group_name_Hall '-P 4 2'
loop_
_atom_site_label
_atom_site_fract_x
_atom_site_fract_y
_atom_site_fract_z
Rb1 0.000 0.000 0.000
Sc1 0.500 0.500 0.500
Tc1 0.000 0.000 0.500
N1 0.000 0.500 0.000
```

## Properties
Uncorrected formation energy: 2.84 eV per atom
Magnetization: 3.9 μB/cell